# 1
First-principles (GGA-PBE) data for a relaxed LaBrN2O crystal, as listed in the Alexandria database.

Lattice parameters (Å, degrees): 4.052 4.052 4.098 90.00 90.00 90.00
Space group P4/mmm (No. 123)
Asymmetric unit:
La: 0.000 0.000 0.000 [1 per cell]
Br: 0.500 0.500 0.500 [1 per cell]
N: 0.000 0.500 0.500 [2 per cell]
O: 0.500 0.500 0.000 [1 per cell]

Computed properties:
**E**: -5.385 eV/atom
**E_form (uncorrected)**: 257 meV/atom


# 2
First-principles (GGA-PBE) data for a relaxed BaSnCl2 crystal, as listed in the Alexandria database.

Lattice parameters (Å, degrees): 3.9690 3.9690 31.1887 90.00 90.00 120.00
Space group R-3m (No. 166, hexagonal axes)
Asymmetric unit:
Ba: 0.0000 0.0000 0.0000 [3 per cell]
Sn: 0.0000 0.0000 0.5000 [3 per cell]
Cl: 0.0000 0.0000 0.0949 [6 per cell]

Computed properties:
**Energy above the most stable polymorph in this dataset**: 0.5144 eV per atom
**E**: -3.175 eV/atom
**E_form (uncorrected)**: -770 meV/atom


# 3
First-principles (GGA-PBE) data for a relaxed LaCu2Hg crystal, as listed in the Alexandria database.

Lattice parameters (Å, degrees): 4.693 4.693 3.953 90.00 90.00 90.00
Space group P4/mmm (No. 123)
Asymmetric unit:
La: 0.000 0.000 0.000 [1 per cell]
Cu: 0.000 0.500 0.500 [2 per cell]
Hg: 0.500 0.500 0.000 [1 per cell]

Computed properties:
**E**: -3.332 eV/atom
**Energy of formation**: 0.023 eV per atom


# 4
First-principles (GGA-PBE) data for a relaxed ScMo2H crystal, as listed in the Alexandria database.

Lattice parameters (Å, degrees): 6.160 6.160 6.160 90.00 90.00 90.00
Space group Fm-3m (No. 225)
Asymmetric unit:
Sc: 0.000 0.000 0.000 [4 per cell]
Mo: 0.250 0.250 0.250 [8 per cell]
H: 0.000 0.000 0.500 [4 per cell]

Computed properties:
**Energy above the most stable polymorph in this dataset**: 1.0517 eV per atom
**E**: -6.599 eV/atom


# 5
First-principles (GGA-PBE) data for a relaxed BeTlPt2 crystal, as listed in the Alexandria database.

Lattice parameters (Å, degrees): 3.6857 3.6857 17.3017 90.00 90.00 120.00
Space group R-3m (No. 166, hexagonal axes)
Asymmetric unit:
Be: 0.0000 0.0000 0.0000 [3 per cell]
Tl: 0.0000 0.0000 0.5000 [3 per cell]
Pt: 0.0000 0.0000 0.2792 [6 per cell]

Computed properties:
**Energy above the most stable polymorph in this dataset**: 0.0450 eV per atom
**E**: -4.793 eV/atom
**Energy of formation**: -0.250 eV per atom


# 6
First-principles (GGA-PBE) data for a relaxed La2Pd9Au crystal, as listed in the Alexandria database.

Lattice parameters (Å, degrees): 5.4160 5.4160 26.9629 90.00 90.00 120.00
Space group R-3m (No. 166, hexagonal axes)
Asymmetric unit:
La: 0.0000 0.0000 0.1311 [6 per cell]
Pd: 0.0000 0.0000 0.3329 [6 per cell]
Pd: 0.0000 0.0000 0.5000 [3 per cell]
Pd: 0.0026 0.5013 0.9160 [18 per cell]
Au: 0.0000 0.0000 0.0000 [3 per cell]

Computed properties:
**Energy above the most stable polymorph in this dataset**: 0.0929 eV per atom
**E**: -5.422 eV/atom
**Energy of formation**: -0.433 eV per atom


# 7
First-principles (GGA-PBE) data for a relaxed Mn2CuRh crystal, as listed in the Alexandria database.

Lattice parameters (Å, degrees): 2.658 4.028 5.035 90.00 105.18 90.00
Space group Pm (No. 6)
Asymmetric unit:
Mn: 0.000 0.000 0.000 [1 per cell]
Mn: 0.131 0.500 0.257 [1 per cell]
Cu: 0.391 0.500 0.778 [1 per cell]
Rh: 0.746 0.000 0.490 [1 per cell]

Computed properties:
**E**: -7.390 eV/atom
**Energy of formation**: 0.057 eV per atom


# 8
First-principles (GGA-PBE) data for a relaxed PmAg2Au9 crystal, as listed in the Alexandria database.

Lattice parameters (Å, degrees): 5.5220 5.5220 27.7450 90.00 90.00 120.00
Space group R-3m (No. 166, hexagonal axes)
Asymmetric unit:
Pm: 0.0000 0.0000 0.0000 [3 per cell]
Ag: 0.0000 0.0000 0.1494 [6 per cell]
Au: 0.0000 0.0000 0.3332 [6 per cell]
Au: 0.0000 0.0000 0.5000 [3 per cell]
Au: 0.0034 0.5017 0.9141 [18 per cell]

Computed properties:
**E**: -3.504 eV/atom
**Energy of formation**: -0.175 eV per atom


# 9
First-principles (GGA-PBE) data for a relaxed PmSm3Er2S6 crystal, as listed in the Alexandria database.

Lattice parameters (Å, degrees): 6.848 11.901 6.882 90.00 109.42 90.00
Space group C2/m (No. 12)
Asymmetric unit:
Pm: 0.000 0.000 0.000 [2 per cell]
Sm: 0.000 0.162 0.500 [4 per cell]
Sm: 0.000 0.500 0.500 [2 per cell]
Er: 0.000 0.334 0.000 [4 per cell]
S: 0.237 0.500 0.239 [4 per cell]
S: 0.248 0.328 0.757 [8 per cell]

Computed properties:
**E**: -6.406 eV/atom
**E_form (uncorrected)**: -2006 meV/atom


# 10
First-principles (GGA-PBE) data for a relaxed K3TmSc2S6 crystal, as listed in the Alexandria database.

Lattice parameters (Å, degrees): 6.746 11.685 7.654 90.00 107.09 90.00
Space group C2/m (No. 12)
Asymmetric unit:
K: 0.000 0.000 0.000 [2 per cell]
K: 0.000 0.335 0.000 [4 per cell]
Tm: 0.000 0.500 0.500 [2 per cell]
Sc: 0.000 0.167 0.500 [4 per cell]
S: 0.222 0.000 0.694 [4 per cell]
S: 0.236 0.329 0.695 [8 per cell]

Computed properties:
**E**: -5.563 eV/atom
**E_form (uncorrected)**: -1797 meV/atom


# 11
First-principles (GGA-PBE) data for a relaxed CsP2IrO8 crystal, as listed in the Alexandria database.

Lattice parameters (Å, degrees): 4.9158 4.9158 27.7705 90.00 90.00 120.00
Space group R-3 (No. 148, hexagonal axes)
Asymmetric unit:
Cs: 0.0000 0.0000 0.0000 [3 per cell]
P: 0.0000 0.0000 0.2277 [6 per cell]
Ir: 0.0000 0.0000 0.5000 [3 per cell]
O: 0.0000 0.0000 0.2818 [6 per cell]
O: 0.0168 0.6290 0.8746 [18 per cell]

Computed properties:
**E**: -6.742 eV/atom
**E_form (uncorrected)**: -1726 meV/atom


# 12
First-principles (GGA-PBE) data for a relaxed Pr3SmPt3 crystal, as listed in the Alexandria database.

Lattice parameters (Å, degrees): 9.528 10.851 7.350 90.00 90.79 90.00
Space group C2/m (No. 12)
Asymmetric unit:
Pr: 0.000 0.177 0.000 [4 per cell]
Pr: 0.000 0.249 0.500 [4 per cell]
Pr: 0.165 0.500 0.877 [4 per cell]
Sm: 0.246 0.500 0.379 [4 per cell]
Pt: 0.060 0.000 0.309 [4 per cell]
Pt: 0.241 0.264 0.217 [8 per cell]

Computed properties:
**E**: -6.194 eV/atom
**Energy of formation**: -0.883 eV per atom


# 13
First-principles (GGA-PBE) data for a relaxed SrTe2Br crystal, as listed in the Alexandria database.

Lattice parameters (Å, degrees): 10.221 4.467 6.980 90.00 114.40 90.00
Space group Cm (No. 8)
Asymmetric unit:
Sr: 0.000 0.000 0.000 [2 per cell]
Te: 0.189 0.500 0.472 [2 per cell]
Te: 0.458 0.000 0.583 [2 per cell]
Br: 0.295 0.000 0.995 [2 per cell]

Computed properties:
**Energy above the most stable polymorph in this dataset**: 0.1482 eV per atom
**E**: -3.446 eV/atom
**E_form (uncorrected)**: -1036 meV/atom


# 14
First-principles (GGA-PBE) data for a relaxed SrZnPb2 crystal, as listed in the Alexandria database.

Lattice parameters (Å, degrees): 4.679 4.711 5.909 90.00 104.81 90.00
Space group P2/m (No. 10)
Asymmetric unit:
Sr: 0.000 0.000 0.000 [1 per cell]
Zn: 0.500 0.000 0.500 [1 per cell]
Pb: 0.318 0.500 0.705 [2 per cell]

Computed properties:
**E**: -2.757 eV/atom
**Energy of formation**: -0.164 eV per atom


# 15
First-principles (GGA-PBE) data for a relaxed Sc3ZnN crystal, as listed in the Alexandria database.

Lattice parameters (Å, degrees): 8.773 8.741 6.189 90.00 134.78 90.00
Space group C2/m (No. 12)
Asymmetric unit:
Sc: 0.000 0.219 0.000 [4 per cell]
Sc: 0.000 0.278 0.500 [4 per cell]
Sc: 0.247 0.500 0.056 [4 per cell]
Zn: 0.250 0.000 0.496 [4 per cell]
N: 0.250 0.250 0.000 [4 per cell]

Computed properties:
**E**: -6.704 eV/atom
**E_form (uncorrected)**: -986 meV/atom


# 16
First-principles (GGA-PBE) data for a relaxed Nd3HoPu2S6 crystal, as listed in the Alexandria database.

Lattice parameters (Å, degrees): 6.908 11.967 6.963 90.00 109.28 90.00
Space group C2/m (No. 12)
Asymmetric unit:
Nd: 0.000 0.000 0.000 [2 per cell]
Nd: 0.000 0.332 0.000 [4 per cell]
Ho: 0.000 0.500 0.500 [2 per cell]
Pu: 0.000 0.167 0.500 [4 per cell]
S: 0.244 0.335 0.737 [8 per cell]
S: 0.249 0.000 0.739 [4 per cell]

Computed properties:
**E**: -7.974 eV/atom
**E_form (uncorrected)**: -1948 meV/atom


# 17
First-principles (GGA-PBE) data for a relaxed Ba2AgI crystal, as listed in the Alexandria database.

Lattice parameters (Å, degrees): 4.7978 4.7978 26.9040 90.00 90.00 120.00
Space group R-3m (No. 166, hexagonal axes)
Asymmetric unit:
Ba: 0.0000 0.0000 0.2378 [6 per cell]
Ag: 0.0000 0.0000 0.5000 [3 per cell]
I: 0.0000 0.0000 0.0000 [3 per cell]

Computed properties:
**Energy above the most stable polymorph in this dataset**: 0.0000 eV per atom
**E**: -2.854 eV/atom
**E_form (uncorrected)**: -792 meV/atom


# 18
First-principles (GGA-PBE) data for a relaxed BePdRu2Se crystal, as listed in the Alexandria database.

Lattice parameters (Å, degrees): 4.549 4.549 4.049 90.00 90.00 90.00
Space group P4/mmm (No. 123)
Asymmetric unit:
Be: 0.000 0.000 0.000 [1 per cell]
Pd: 0.500 0.500 0.000 [1 per cell]
Ru: 0.000 0.500 0.500 [2 per cell]
Se: 0.000 0.000 0.500 [1 per cell]

Computed properties:
**E**: -5.265 eV/atom
**E_form (uncorrected)**: 926 meV/atom


# 19
First-principles (GGA-PBE) data for a relaxed Ho2Zn2AgPd5 crystal, as listed in the Alexandria database.

Lattice parameters (Å, degrees): 9.577 9.577 3.846 90.00 90.00 90.00
Space group P4/mbm (No. 127)
Asymmetric unit:
Ho: 0.178 0.322 0.000 [4 per cell]
Zn: 0.119 0.619 0.000 [4 per cell]
Ag: 0.000 0.000 0.000 [2 per cell]
Pd: 0.000 0.500 0.500 [2 per cell]
Pd: 0.070 0.794 0.500 [8 per cell]

Computed properties:
**E**: -4.685 eV/atom
**Energy of formation**: -0.633 eV per atom


# 20
First-principles (GGA-PBE) data for a relaxed Zr5Pd6 crystal, as listed in the Alexandria database.

Lattice parameters (Å, degrees): 4.582 6.784 13.411 90.00 90.00 90.00
Space group Immm (No. 71)
Asymmetric unit:
Zr: 0.000 0.000 0.000 [2 per cell]
Zr: 0.000 0.000 0.304 [4 per cell]
Zr: 0.000 0.500 0.348 [4 per cell]
Pd: 0.000 0.209 0.500 [4 per cell]
Pd: 0.000 0.290 0.145 [8 per cell]

Computed properties:
**E**: -7.205 eV/atom
**Energy of formation**: -0.488 eV per atom


Number 1: volume 67 Å³/cell. Number 2: volume 425 Å³/cell. Number 3: volume 87 Å³/cell. Number 4: volume 234 Å³/cell. Number 5: volume 204 Å³/cell. Number 6: volume 685 Å³/cell. Number 7: volume 52 Å³/cell. Number 8: volume 733 Å³/cell. Number 9: volume 529 Å³/cell. Number 10: volume 577 Å³/cell. Number 11: volume 581 Å³/cell. Number 12: volume 760 Å³/cell. Number 13: volume 290 Å³/cell. Number 14: volume 126 Å³/cell. Number 15: volume 337 Å³/cell. Number 16: volume 543 Å³/cell. Number 17: volume 536 Å³/cell. Number 18: volume 84 Å³/cell. Number 19: volume 353 Å³/cell. Number 20: volume 417 Å³/cell.